[1]
# Lu2Tl2SnS6

An optimized crystal structure of Lu2Tl2SnS6 (GGA-PBE, the Open Quantum Materials Database).

Cell lengths 6.6832, 6.6832, 7.7280 Å; angles 90.00, 90.00, 120.00 degrees
With the nearest neighbours (Å) after each atom.
Element x y z (fractional)
Lu1 0.3333 0.6667 0.0103  6 S 2.68-2.71
Lu2 0.6667 0.3333 0.9897  6 S 2.68-2.71
S1 0.3266 0.0066 0.1897  1 Sn 2.61, 2 Lu 2.68-2.71
S2 0.9934 0.3200 0.1897  1 Sn 2.61, 2 Lu 2.68-2.71
S3 0.6800 0.6734 0.1897  1 Sn 2.61, 2 Lu 2.68-2.71
S4 0.3200 0.3266 0.8103  1 Sn 2.61, 2 Lu 2.68-2.71
S5 0.0066 0.6800 0.8103  1 Sn 2.61, 2 Lu 2.68-2.71
S6 0.6734 0.9934 0.8103  1 Sn 2.61, 2 Lu 2.68-2.71
Sn1 0.0000 0.0000 0.0000  6 S 2.61
Tl1 0.6667 0.3333 0.4812  6 S 3.17-3.43
Tl2 0.3333 0.6667 0.5188  6 S 3.17-3.43

- E: -55.12 eV/cell
- Space-group type: No. 147

---

[2]
# SrLuZnS3

An optimized crystal structure of SrLuZnS3 (GGA-PBE, the Open Quantum Materials Database).

Cell lengths 6.8045, 6.8045, 10.0543 Å; angles 90.00, 90.00, 145.22 degrees
With the nearest neighbours (Å) after each atom.
Element x y z (fractional)
Lu1 0.5000 0.5000 0.0000  6 S 2.71-2.76
Lu2 0.5000 0.5000 0.5000  6 S 2.71-2.76
S1 0.8663 0.1337 0.0674  1 Zn 2.37
S2 0.5787 0.4213 0.2500  2 Zn 2.39
S3 0.8663 0.1337 0.4326  1 Zn 2.37
S4 0.1337 0.8663 0.5674  1 Zn 2.37
S5 0.4213 0.5787 0.7500  2 Zn 2.39
S6 0.1337 0.8663 0.9326  1 Zn 2.37
Sr1 0.2549 0.7451 0.2500  6 S 3.06-3.10
Sr2 0.7451 0.2549 0.7500  6 S 3.06-3.10
Zn1 0.9819 0.0181 0.2500  4 S 2.37-2.39
Zn2 0.0181 0.9819 0.7500  4 S 2.37-2.39

- E: -57.25 eV/cell
- Space-group type: No. 63

---

[3]
# Lu3TlS6

An optimized crystal structure of Lu3TlS6 (GGA-PBE, the Open Quantum Materials Database).

Cell lengths 10.5211, 3.9732, 11.4037 Å; angles 90.00, 105.43, 90.00 degrees
With the nearest neighbours (Å) after each atom.
Element x y z (fractional)
Lu1 0.6487 0.7500 0.0873  6 S 2.58-2.83
Lu2 0.0605 0.2500 0.1585  6 S 2.67-2.72
Lu3 0.1696 0.7500 0.4835  7 S 2.71-2.86
Lu4 0.8304 0.2500 0.5165  7 S 2.71-2.86
Lu5 0.9395 0.7500 0.8415  6 S 2.67-2.72
Lu6 0.3513 0.2500 0.9127  6 S 2.58-2.83
S1 0.3984 0.7500 0.0655  3 Lu 2.58-2.60
S2 0.8950 0.7500 0.0660  4 Lu 2.67-2.72
S3 0.2251 0.7500 0.2595  3 Lu 2.69-2.77
S4 0.6771 0.2500 0.2687  1 Tl 2.59, 3 Lu 2.83-2.86
S5 0.0045 0.2500 0.3762  4 Lu 2.70-2.73
S6 0.6400 0.7500 0.4906  1 Tl 2.57, 2 Lu 2.78
S7 0.3600 0.2500 0.5094  1 Tl 2.57, 2 Lu 2.78
S8 0.9955 0.7500 0.6238  4 Lu 2.70-2.73
S9 0.3229 0.7500 0.7313  1 Tl 2.59, 3 Lu 2.83-2.86
S10 0.7749 0.2500 0.7405  3 Lu 2.69-2.77
S11 0.1050 0.2500 0.9340  4 Lu 2.67-2.72
S12 0.6016 0.2500 0.9345  3 Lu 2.58-2.60
Tl1 0.4532 0.2500 0.3227  2 S 2.57-2.59
Tl2 0.5468 0.7500 0.6773  2 S 2.57-2.59

- E: -110.91 eV/cell
- Space-group type: No. 11

---

[4]
# TmLu2S3

An optimized crystal structure of TmLu2S3 (GGA-PBE, the Open Quantum Materials Database).

Cell lengths 3.8114, 3.8114, 9.3466 Å; angles 90.00, 90.00, 120.00 degrees
With the nearest neighbours (Å) after each atom.
Element x y z (fractional)
Lu1 0.3333 0.6667 0.1665  6 S 2.68-2.70
Lu2 0.6667 0.3333 0.8335  6 S 2.68-2.70
S1 0.0000 0.0000 0.0000  6 Lu 2.70
S2 0.6667 0.3333 0.3304  3 Lu 2.68, 3 Tm 2.71
S3 0.3333 0.6667 0.6696  3 Lu 2.68, 3 Tm 2.71
Tm1 0.0000 0.0000 0.5000  6 S 2.71

- E: -37.24 eV/cell
- Space-group type: No. 164

---

[5]
# TmLuS3

An optimized crystal structure of TmLuS3 (GGA-PBE, the Open Quantum Materials Database).

Cell lengths 6.4453, 6.4453, 9.3857 Å; angles 90.00, 90.00, 146.36 degrees
With the nearest neighbours (Å) after each atom.
Element x y z (fractional)
S1 0.5960 0.4040 0.2500  2 Lu 2.63, 2 Tm 2.66
S2 0.8538 0.1441 0.4298  2 Lu 2.67, 2 Tm 2.82-2.83
S3 0.1441 0.8538 0.5702  2 Lu 2.67, 2 Tm 2.82-2.83
S4 0.4040 0.5960 0.7500  2 Lu 2.63, 2 Tm 2.66
S5 0.1462 0.8559 0.9298  2 Lu 2.67, 2 Tm 2.82-2.83
S6 0.8559 0.1462 0.0702  2 Lu 2.67, 2 Tm 2.82-2.83
Tm1 0.2502 0.7498 0.2500  6 S 2.66-2.83
Tm2 0.7498 0.2502 0.7500  6 S 2.66-2.83
Lu1 0.5017 0.5017 0.0000  6 S 2.63-2.67
Lu2 0.4983 0.4983 0.5000  6 S 2.63-2.67

- E: -63.14 eV/cell
- Space-group type: No. 20

---

[6]
# Tm2LuS3

An optimized crystal structure of Tm2LuS3 (GGA-PBE, the Open Quantum Materials Database).

Cell lengths 3.8222, 3.8222, 9.3765 Å; angles 90.00, 90.00, 120.00 degrees
With the nearest neighbours (Å) after each atom.
Element x y z (fractional)
Lu1 0.0000 0.0000 0.0000  6 S 2.69
S1 0.3333 0.6667 0.1641  3 Lu 2.69, 3 Tm 2.72
S2 0.0000 0.0000 0.5000  6 Tm 2.70
S3 0.6667 0.3333 0.8359  3 Lu 2.69, 3 Tm 2.72
Tm1 0.6667 0.3333 0.3332  6 S 2.70-2.72
Tm2 0.3333 0.6667 0.6668  6 S 2.70-2.72

- E: -37.31 eV/cell
- Space-group type: No. 164

---

[7]
# Tm5Lu3S

An optimized crystal structure of Tm5Lu3S (GGA-PBE, the Open Quantum Materials Database).

Cell lengths 8.8162, 8.8162, 3.6708 Å; angles 90.00, 90.00, 120.00 degrees
With the nearest neighbours (Å) after each atom.
Element x y z (fractional)
Lu1 0.2465 0.0000 0.5000  2 S 2.84
Lu2 0.0000 0.2465 0.5000  2 S 2.84
Lu3 0.7535 0.7535 0.5000  2 S 2.84
S1 0.0000 0.0000 0.0000  6 Lu 2.84
Tm1 0.6022 0.0000 0.0000  4 Tm 3.26, 1 S 3.51, 6 Lu 3.57-3.63
Tm2 0.3978 0.3978 0.0000  4 Tm 3.26, 1 S 3.51, 6 Lu 3.57-3.63
Tm3 0.0000 0.6022 0.0000  4 Tm 3.26, 1 S 3.51, 6 Lu 3.57-3.63
Tm4 0.6667 0.3333 0.5000  6 Tm 3.26, 3 Lu 3.39
Tm5 0.3333 0.6667 0.5000  6 Tm 3.26, 3 Lu 3.39

- E: -43.38 eV/cell
- Space-group type: No. 189

---

[8]
# LuUS3

An optimized crystal structure of LuUS3 (GGA-PBE, the Open Quantum Materials Database).

Cell lengths 6.5425, 6.5425, 9.3103 Å; angles 90.00, 90.00, 146.60 degrees
With the nearest neighbours (Å) after each atom.
Element x y z (fractional)
Lu1 0.0000 0.0000 0.0000  6 S 2.59-2.68
Lu2 0.0000 0.0000 0.5000  6 S 2.59-2.68
S1 0.3564 0.6436 0.0663  2 Lu 2.68, 2 U 2.87
S2 0.0911 0.9089 0.2500  2 Lu 2.59, 2 U 2.74
S3 0.3564 0.6436 0.4337  2 Lu 2.68, 2 U 2.87
S4 0.6436 0.3564 0.5663  2 Lu 2.68, 2 U 2.87
S5 0.9089 0.0911 0.7500  2 Lu 2.59, 2 U 2.74
S6 0.6436 0.3564 0.9337  2 Lu 2.68, 2 U 2.87
U1 0.7497 0.2503 0.2500  6 S 2.74-2.87
U2 0.2503 0.7497 0.7500  6 S 2.74-2.87

- E: -73.38 eV/cell
- Space-group type: No. 63

---

[9]
# YLu3S6

An optimized crystal structure of YLu3S6 (GGA-PBE, the Open Quantum Materials Database).

Cell lengths 10.8620, 3.8743, 11.1136 Å; angles 90.00, 108.99, 90.00 degrees
With the nearest neighbours (Å) after each atom.
Element x y z (fractional)
Lu1 0.1816 0.7500 0.0017  7 S 2.63-2.88
Lu2 0.9368 0.7500 0.3322  6 S 2.62-2.72
Lu3 0.3396 0.2500 0.4149  6 S 2.60-2.72
Lu4 0.6604 0.7500 0.5851  6 S 2.60-2.72
Lu5 0.0632 0.2500 0.6678  6 S 2.62-2.72
Lu6 0.8184 0.2500 0.9983  7 S 2.63-2.88
S1 0.3859 0.2500 0.0362  3 Y 2.80-2.88, 2 Lu 2.88
S2 0.9777 0.7500 0.1128  4 Lu 2.62-2.87
S3 0.7597 0.2500 0.2258  3 Lu 2.71-2.80, 2 Y 2.95
S4 0.3052 0.7500 0.2507  3 Lu 2.60-2.65, 1 Y 2.89
S5 0.5818 0.2500 0.4043  3 Lu 2.67-2.72, 2 Y 2.97
S6 0.1045 0.2500 0.4394  4 Lu 2.65-2.72
S7 0.8955 0.7500 0.5606  4 Lu 2.65-2.72
S8 0.4182 0.7500 0.5957  3 Lu 2.67-2.72, 2 Y 2.97
S9 0.6948 0.2500 0.7493  3 Lu 2.60-2.65, 1 Y 2.89
S10 0.2403 0.7500 0.7742  3 Lu 2.71-2.80, 2 Y 2.95
S11 0.0223 0.2500 0.8872  4 Lu 2.62-2.87
S12 0.6141 0.7500 0.9638  3 Y 2.80-2.88, 2 Lu 2.88
Y1 0.5462 0.7500 0.1932  8 S 2.80-2.97
Y2 0.4538 0.2500 0.8068  8 S 2.80-2.97

- E: -130.87 eV/cell
- Space-group type: No. 11

---

[10]
# Lu2ZnS4

An optimized crystal structure of Lu2ZnS4 (GGA-PBE, the Open Quantum Materials Database).

Cell lengths 13.2616, 7.7000, 6.2599 Å; angles 90.00, 90.00, 90.00 degrees
With the nearest neighbours (Å) after each atom.
Element x y z (fractional)
Lu1 0.0000 0.0000 0.0000  6 S 2.66-2.70
Lu2 0.0000 0.5000 0.0000  6 S 2.66-2.70
Lu3 0.7349 0.7500 0.0019  6 S 2.66-2.72
Lu4 0.2349 0.7500 0.4981  6 S 2.66-2.72
Lu5 0.5000 0.0000 0.5000  6 S 2.66-2.70
Lu6 0.5000 0.5000 0.5000  6 S 2.66-2.70
Lu7 0.7651 0.2500 0.5019  6 S 2.66-2.72
Lu8 0.2651 0.2500 0.9981  6 S 2.66-2.72
S1 0.9094 0.7500 0.2212  1 Zn 2.29
S2 0.1686 0.0092 0.2414  1 Zn 2.37
S3 0.1686 0.4908 0.2414  1 Zn 2.37
S4 0.4285 0.2500 0.2460  1 Zn 2.38, 1 Lu 2.66
S5 0.9285 0.2500 0.2540  1 Zn 2.38, 1 Lu 2.66
S6 0.6686 0.0092 0.2586  1 Zn 2.37
S7 0.6686 0.4908 0.2586  1 Zn 2.37
S8 0.4094 0.7500 0.2788  1 Zn 2.29
S9 0.5906 0.2500 0.7212  1 Zn 2.29
S10 0.3314 0.5092 0.7414  1 Zn 2.37
S11 0.3314 0.9908 0.7414  1 Zn 2.37
S12 0.0715 0.7500 0.7460  1 Zn 2.38, 1 Lu 2.66
S13 0.5715 0.7500 0.7540  1 Zn 2.38, 1 Lu 2.66
S14 0.8314 0.5092 0.7586  1 Zn 2.37
S15 0.8314 0.9908 0.7586  1 Zn 2.37
S16 0.0906 0.2500 0.7788  1 Zn 2.29
Zn1 0.5920 0.2500 0.0878  4 S 2.29-2.38
Zn2 0.0920 0.2500 0.4122  4 S 2.29-2.38
Zn3 0.9080 0.7500 0.5878  4 S 2.29-2.38
Zn4 0.4080 0.7500 0.9122  4 S 2.29-2.38

- E: -154.78 eV/cell
- Space-group type: No. 62